The following is a DFT calculation (PBE-GGA) of crystalline PmDy2HoTm5 at its relaxed geometry.

Cell: 8.854 8.854 14.525 Å, 90.00 90.00 90.00°
Space group I4/mcm (No. 140)
Asymmetric unit:
1 Pm 0.000 0.000 0.250
2 Dy 0.113 0.387 0.000
3 Ho 0.000 0.500 0.250
4 Tm 0.000 0.000 0.000
5 Tm 0.206 0.294 0.368

## Properties
E: -4.251 eV per atom
energy of formation from the pure elements: 2.6 eV/f.u.



The following is a DFT calculation (PBE-GGA) of crystalline Pm4DyHo2Tm2 at its relaxed geometry.

Cell: 15.179 5.045 7.992 Å, 90.00 108.39 90.00°
Space group C2/m (No. 12)
Asymmetric unit:
1 Pm 0.054 0.000 0.331
2 Pm 0.223 0.500 0.332
3 Dy 0.000 0.500 0.000
4 Ho 0.111 0.500 0.669
5 Tm 0.167 0.000 0.000

## Properties
E: -4.613 eV per atom
energy of formation from the pure elements: 0.2 eV/f.u.



The following is a DFT calculation (PBE-GGA) of crystalline PmDy2HoTm at its relaxed geometry.

Cell: 8.365 11.411 7.184 Å, 90.00 90.00 90.00°
Space group Cmcm (No. 63)
Asymmetric unit:
1 Pm 0.000 0.228 0.250
2 Dy 0.190 0.000 0.000
3 Ho 0.000 0.499 0.250
4 Tm 0.000 0.222 0.750

## Properties
E: -4.205 eV per atom
energy of formation from the pure elements: 2.0 eV/f.u.



The following is a DFT calculation (PBE-GGA) of crystalline Pm3Dy2HoTm6 at its relaxed geometry.

Cell: 6.142 10.630 11.667 Å, 90.00 100.07 90.00°
Space group C2/m (No. 12)
Asymmetric unit:
1 Pm 0.000 0.000 0.000
2 Pm 0.000 0.333 0.000
3 Dy 0.000 0.167 0.500
4 Ho 0.000 0.500 0.500
5 Tm 0.249 0.000 0.747
6 Tm 0.249 0.333 0.747

## Properties
E: -4.550 eV per atom
energy of formation from the pure elements: 0.3 eV/f.u.



The following is a DFT calculation (PBE-GGA) of crystalline Pm2Dy4HoTm at its relaxed geometry.

Cell: 6.792 11.780 13.244 Å, 90.00 90.00 90.00°
Space group Imma (No. 74)
Asymmetric unit:
1 Pm 0.000 0.000 0.000
2 Pm 0.250 0.250 0.250
3 Dy 0.000 0.004 0.748
4 Dy 0.249 0.250 0.504
5 Ho 0.000 0.000 0.500
6 Tm 0.250 0.250 0.750

## Properties
E: -4.190 eV per atom
energy of formation from the pure elements: 3.4 eV/f.u.



The following is a DFT calculation (PBE-GGA) of crystalline Pm2DyHoTm2 at its relaxed geometry.

Cell: 7.001 5.616 9.685 Å, 90.00 90.00 90.00°
Space group Pmma (No. 51)
Asymmetric unit:
1 Pm 0.250 0.000 0.154
2 Pm 0.250 0.500 0.677
3 Dy 0.250 0.000 0.819
4 Ho 0.000 0.500 0.000
5 Tm 0.000 0.000 0.500
6 Tm 0.250 0.500 0.344

## Properties
E: -4.540 eV per atom
energy of formation from the pure elements: 0.4 eV/f.u.